[1]
Compound: HfGaPt
Source: Alexandria via LeMat-Bulk
Functional: PBE
Structure: optimized geometry

N(E_F) = 6.6 states/eV/cell
ΔE_f = -0.98 eV/atom
M_tot = 0.0 μB/cell

a = 7.176 Å, b = 7.176 Å, c = 7.058 Å
α = 90.00°, β = 90.00°, γ = 120.00°
Fractional positions:
Ga: 0.732 0.732 0.500
Hf: 0.385 0.409 0.750
Pt: 0.000 0.000 0.250
Pt: 0.333 0.667 0.468
Ga: 0.732 0.732 0.000
Ga: 0.000 0.268 0.500
Pt: 0.667 0.333 0.968
Ga: 0.268 0.000 0.000
Pt: 0.333 0.667 0.032
Hf: 0.591 0.977 0.750
Pt: 0.667 0.333 0.532
Ga: 0.268 0.000 0.500
Hf: 0.409 0.385 0.250
Hf: 0.977 0.591 0.250
Ga: 0.000 0.268 0.000
Pt: 0.000 0.000 0.750
Hf: 0.023 0.615 0.750
Hf: 0.615 0.023 0.250

***

[2]
Compound: HfGaPt3
Source: Alexandria via LeMat-Bulk
Functional: PBE
Structure: optimized geometry

energy above the lowest structure with this stoichiometry = 0.0 meV per atom
N(E_F) = 3.2 states/eV/cell
ΔE_f = -0.90 eV/atom
M_tot = 0.0 μB/cell

a = 4.743 Å, b = 5.600 Å, c = 7.107 Å
α = 108.37°, β = 109.49°, γ = 90.00°
Fractional positions:
Pt: 0.205 0.668 0.409
Hf: 0.185 0.149 0.371
Ga: 0.404 0.610 0.808
Pt: 0.795 0.332 0.591
Pt: 0.007 0.262 0.013
Pt: 0.386 0.121 0.771
Pt: 0.614 0.879 0.229
Hf: 0.815 0.851 0.629
Pt: 0.993 0.738 0.987
Ga: 0.596 0.390 0.192

***

[3]
Compound: HfGa3Pt
Source: Alexandria via LeMat-Bulk
Functional: PBE
Structure: optimized geometry

energy above the lowest structure with this stoichiometry = 0.0 meV per atom
N(E_F) = 3.5 states/eV/cell
ΔE_f = -0.44 eV/atom
M_tot = 0.0 μB/cell

a = 4.180 Å, b = 6.506 Å, c = 6.636 Å
α = 90.00°, β = 90.00°, γ = 90.00°
Fractional positions:
Ga: 0.750 0.036 0.719
Ga: 0.250 0.964 0.281
Hf: 0.250 0.750 0.679
Ga: 0.750 0.750 0.001
Ga: 0.250 0.250 0.999
Pt: 0.250 0.250 0.617
Pt: 0.750 0.750 0.383
Hf: 0.750 0.250 0.321
Ga: 0.250 0.536 0.281
Ga: 0.750 0.464 0.719

***

[4]
Compound: Hf3Ga6Pt
Source: Alexandria via LeMat-Bulk
Functional: PBE
Structure: optimized geometry

N(E_F) = 7.9 states/eV/cell
ΔE_f = -0.46 eV/atom
M_tot = 0.0 μB/cell

a = 7.120 Å, b = 7.120 Å, c = 7.120 Å
α = 96.54°, β = 96.54°, γ = 96.54°
Fractional positions:
Pt: 0.500 0.500 0.500
Hf: 0.182 0.318 0.750
Hf: 0.750 0.182 0.318
Ga: 0.487 0.412 0.140
Ga: 0.987 0.640 0.912
Ga: 0.860 0.513 0.588
Ga: 0.360 0.088 0.013
Ga: 0.640 0.912 0.987
Ga: 0.588 0.860 0.513
Ga: 0.088 0.013 0.360
Pt: 0.000 0.000 0.000
Ga: 0.513 0.588 0.860
Hf: 0.318 0.750 0.182
Hf: 0.818 0.682 0.250
Ga: 0.412 0.140 0.487
Ga: 0.013 0.360 0.088
Hf: 0.682 0.250 0.818
Ga: 0.140 0.487 0.412
Ga: 0.912 0.987 0.640
Hf: 0.250 0.818 0.682

***

[5]
Compound: Hf4GaPt
Source: Alexandria via LeMat-Bulk
Functional: PBE
Structure: optimized geometry

energy above the lowest structure with this stoichiometry = 0.0 meV per atom
N(E_F) = 14.4 states/eV/cell
ΔE_f = -0.58 eV/atom
M_tot = 0.0 μB/cell

a = 5.411 Å, b = 6.649 Å, c = 6.649 Å
α = 90.00°, β = 90.00°, γ = 90.00°
Fractional positions:
Hf: 0.500 0.841 0.657
Hf: 0.000 0.657 0.841
Hf: 0.000 0.343 0.159
Hf: 0.000 0.841 0.343
Hf: 0.000 0.159 0.657
Hf: 0.500 0.159 0.343
Hf: 0.500 0.343 0.841
Pt: 0.750 0.500 0.500
Ga: 0.750 0.000 0.000
Hf: 0.500 0.657 0.159
Pt: 0.250 0.500 0.500
Ga: 0.250 0.000 0.000

***

[6]
Compound: HfGa3Pt
Source: Alexandria via LeMat-Bulk
Functional: PBE
Structure: optimized geometry

energy above the lowest structure with this stoichiometry = 627.5 meV per atom
N(E_F) = 2.3 states/eV/cell
ΔE_f = 0.19 eV/atom
M_tot = 0.0 μB/cell

a = 4.769 Å, b = 4.769 Å, c = 4.769 Å
α = 90.00°, β = 90.00°, γ = 90.00°
Fractional positions:
Pt: 0.000 0.000 0.000
Ga: 0.000 0.500 0.000
Ga: 0.000 0.000 0.500
Hf: 0.500 0.500 0.500
Ga: 0.500 0.000 0.000

***

[7]
Compound: HfGaPt4
Source: Alexandria via LeMat-Bulk
Functional: PBE
Structure: optimized geometry

energy above the lowest structure with this stoichiometry = 53.0 meV per atom
N(E_F) = 5.1 states/eV/cell
ΔE_f = -0.72 eV/atom
M_tot = 0.0 μB/cell

a = 4.687 Å, b = 5.332 Å, c = 8.149 Å
α = 90.00°, β = 89.77°, γ = 90.00°
Fractional positions:
Pt: 0.998 0.090 0.336
Ga: 0.500 0.000 0.500
Hf: 0.000 0.000 0.000
Pt: 0.999 0.580 0.179
Ga: 0.000 0.500 0.500
Hf: 0.500 0.500 0.000
Pt: 0.499 0.920 0.179
Pt: 0.002 0.910 0.664
Pt: 0.502 0.590 0.664
Pt: 0.498 0.410 0.336
Pt: 0.501 0.080 0.821
Pt: 0.001 0.420 0.821

***

[8]
Compound: Hf4GaPt
Source: Alexandria via LeMat-Bulk
Functional: PBE
Structure: optimized geometry

energy above the lowest structure with this stoichiometry = 292.9 meV per atom
N(E_F) = 10.1 states/eV/cell
ΔE_f = -0.28 eV/atom
M_tot = 0.0 μB/cell

a = 6.459 Å, b = 6.459 Å, c = 7.839 Å
α = 114.32°, β = 114.32°, γ = 90.02°
Fractional positions:
Hf: 0.248 0.500 0.500
Pt: 0.875 0.125 0.250
Hf: 0.752 0.000 0.500
Hf: 0.000 0.248 0.000
Ga: 0.625 0.375 0.750
Hf: 0.500 0.248 0.000
Pt: 0.125 0.875 0.750
Hf: 0.500 0.752 0.000
Hf: 0.000 0.752 0.000
Ga: 0.375 0.625 0.250
Hf: 0.248 0.000 0.500
Hf: 0.752 0.500 0.500